# Sb2Pb (GGA-PBE, relaxed)
data_Sb2Pb
_symmetry_space_group_name_H-M 'P 1'
_symmetry_Int_Tables_number 1
_cell_length_a 6.221
_cell_length_b 6.221
_cell_length_c 6.221
_cell_angle_alpha 149.78
_cell_angle_beta 127.48
_cell_angle_gamma 61.80
loop_
_symmetry_equiv_pos_as_xyz
'x,y,z'
loop_
_atom_site_label
_atom_site_type_symbol
_atom_site_fract_x
_atom_site_fract_y
_atom_site_fract_z
Sb1 Sb 0.636 0.636 0.000
Sb2 Sb 0.364 0.364 0.000
Pb1 Pb 0.000 0.000 0.000
# Formation energy (no corrections) in eV per atom: 0.170
# Energy relative to the lowest polymorph listed for this composition in kJ/mol of formula units: 30
# V in Å³/f.u.: 95.3
# DOS(E_F) in states/eV/cell: 1.5
# Total DFT energy (no corrections) in eV per atom: -3.8140
# Crystal system: orthorhombic

=====

# CsPS4 (GGA-PBE, relaxed)
data_CsPS4
_symmetry_space_group_name_H-M 'P 1'
_symmetry_Int_Tables_number 1
_cell_length_a 6.918
_cell_length_b 6.918
_cell_length_c 11.059
_cell_angle_alpha 90.00
_cell_angle_beta 90.00
_cell_angle_gamma 54.89
loop_
_symmetry_equiv_pos_as_xyz
'x,y,z'
loop_
_atom_site_label
_atom_site_type_symbol
_atom_site_fract_x
_atom_site_fract_y
_atom_site_fract_z
S1 S 0.571 0.892 0.387
S2 S 0.108 0.429 0.613
S3 S 0.571 0.892 0.113
S4 S 0.498 0.516 0.750
S5 S 0.108 0.429 0.887
S6 S 0.484 0.502 0.250
S7 S 0.982 0.361 0.250
S8 S 0.639 0.018 0.750
P1 P 0.336 0.348 0.750
P2 P 0.652 0.664 0.250
Cs1 Cs 0.025 0.975 0.000
Cs2 Cs 0.025 0.975 0.500
# Formation energy (no corrections) in eV per atom: -0.308
# Energy relative to the lowest polymorph listed for this composition in kJ/mol of formula units: 65
# V in Å³/f.u.: 216.5
# DOS(E_F) in states/eV/cell: 1.8
# Total DFT energy (no corrections) in eV per atom: -4.1031
# Crystal system: orthorhombic

=====

# BaCaSc2B (GGA-PBE, relaxed)
data_BaCaSc2B
_symmetry_space_group_name_H-M 'P 1'
_symmetry_Int_Tables_number 1
_cell_length_a 5.347
_cell_length_b 6.048
_cell_length_c 5.347
_cell_angle_alpha 90.00
_cell_angle_beta 90.00
_cell_angle_gamma 90.00
loop_
_symmetry_equiv_pos_as_xyz
'x,y,z'
loop_
_atom_site_label
_atom_site_type_symbol
_atom_site_fract_x
_atom_site_fract_y
_atom_site_fract_z
B1 B 0.500 0.500 0.500
Sc1 Sc 0.500 0.000 0.000
Sc2 Sc 0.000 0.000 0.500
Ca1 Ca 0.000 0.000 0.000
Ba1 Ba 0.000 0.500 0.000
# Energy relative to the lowest polymorph listed for this composition in kJ/mol of formula units: 215
# V in Å³/f.u.: 172.9
# DOS(E_F) in states/eV/cell: 9.1
# Total DFT energy (no corrections) in eV per atom: -2.7359
# Energy of formation in meV per atom: 1917.1
# Crystal system: tetragonal

=====

# TmThNiRu (GGA-PBE, relaxed)
data_TmThNiRu
_symmetry_space_group_name_H-M 'P 1'
_symmetry_Int_Tables_number 1
_cell_length_a 4.877
_cell_length_b 4.877
_cell_length_c 4.877
_cell_angle_alpha 60.00
_cell_angle_beta 60.00
_cell_angle_gamma 60.00
loop_
_symmetry_equiv_pos_as_xyz
'x,y,z'
loop_
_atom_site_label
_atom_site_type_symbol
_atom_site_fract_x
_atom_site_fract_y
_atom_site_fract_z
Ru1 Ru 0.750 0.750 0.750
Th1 Th 0.500 0.500 0.500
Tm1 Tm 0.000 0.000 0.000
Ni1 Ni 0.250 0.250 0.250
# V in Å³/f.u.: 82.0
# DOS(E_F) in states/eV/cell: 3.4
# Total DFT energy (no corrections) in eV per atom: -7.1476
# Energy of formation in meV per atom: -410.5
# Crystal system: cubic

=====

# Li2CaOs (GGA-PBE, relaxed)
data_Li2CaOs
_symmetry_space_group_name_H-M 'P 1'
_symmetry_Int_Tables_number 1
_cell_length_a 10.176
_cell_length_b 10.176
_cell_length_c 10.176
_cell_angle_alpha 16.76
_cell_angle_beta 16.76
_cell_angle_gamma 16.76
loop_
_symmetry_equiv_pos_as_xyz
'x,y,z'
loop_
_atom_site_label
_atom_site_type_symbol
_atom_site_fract_x
_atom_site_fract_y
_atom_site_fract_z
Os1 Os 0.505 0.505 0.505
Ca1 Ca 0.760 0.760 0.760
Li1 Li 0.995 0.995 0.995
Li2 Li 0.241 0.241 0.241
# Energy relative to the lowest polymorph listed for this composition in kJ/mol of formula units: 63
# V in Å³/f.u.: 76.4
# DOS(E_F) in states/eV/cell: 3.3
# Total DFT energy (no corrections) in eV per atom: -3.7691
# Energy of formation in meV per atom: 495.6
# Crystal system: trigonal

=====

# Ac2Pm3Mg2 (GGA-PBE, relaxed)
data_Ac2Pm3Mg2
_symmetry_space_group_name_H-M 'P 1'
_symmetry_Int_Tables_number 1
_cell_length_a 3.850
_cell_length_b 3.816
_cell_length_c 16.835
_cell_angle_alpha 90.00
_cell_angle_beta 96.57
_cell_angle_gamma 90.00
loop_
_symmetry_equiv_pos_as_xyz
'x,y,z'
loop_
_atom_site_label
_atom_site_type_symbol
_atom_site_fract_x
_atom_site_fract_y
_atom_site_fract_z
Pm1 Pm 0.428 0.500 0.856
Pm2 Pm 0.000 0.000 0.000
Pm3 Pm 0.572 0.500 0.144
Mg1 Mg 0.870 0.000 0.739
Mg2 Mg 0.130 0.000 0.261
Ac1 Ac 0.699 0.500 0.398
Ac2 Ac 0.301 0.500 0.602
# V in Å³/f.u.: 245.7
# DOS(E_F) in states/eV/cell: 9.7
# Total DFT energy (no corrections) in eV per atom: -3.6307
# Energy of formation in meV per atom: 34.7
# Crystal system: orthorhombic

=====

# AsRhF2 (GGA-PBE, relaxed)
data_AsRhF2
_symmetry_space_group_name_H-M 'P 1'
_symmetry_Int_Tables_number 1
_cell_length_a 4.192
_cell_length_b 4.192
_cell_length_c 4.192
_cell_angle_alpha 60.00
_cell_angle_beta 60.00
_cell_angle_gamma 60.00
loop_
_symmetry_equiv_pos_as_xyz
'x,y,z'
loop_
_atom_site_label
_atom_site_type_symbol
_atom_site_fract_x
_atom_site_fract_y
_atom_site_fract_z
As1 As 0.000 0.000 0.000
Rh1 Rh 0.500 0.500 0.500
F1 F 0.750 0.750 0.750
F2 F 0.250 0.250 0.250
# Formation energy (no corrections) in eV per atom: -0.212
# Energy relative to the lowest polymorph listed for this composition in kJ/mol of formula units: 221
# V in Å³/f.u.: 52.1
# DOS(E_F) in states/eV/cell: 5.8
# Total DFT energy (no corrections) in eV per atom: -4.1482
# Crystal system: cubic

=====

# Zr2CuCl (GGA-PBE, relaxed)
data_Zr2CuCl
_symmetry_space_group_name_H-M 'P 1'
_symmetry_Int_Tables_number 1
_cell_length_a 5.893
_cell_length_b 5.893
_cell_length_c 5.893
_cell_angle_alpha 142.15
_cell_angle_beta 142.15
_cell_angle_gamma 54.60
loop_
_symmetry_equiv_pos_as_xyz
'x,y,z'
loop_
_atom_site_label
_atom_site_type_symbol
_atom_site_fract_x
_atom_site_fract_y
_atom_site_fract_z
Cu1 Cu 0.750 0.250 0.500
Zr1 Zr 0.000 0.000 0.000
Zr2 Zr 0.250 0.750 0.500
Cl1 Cl 0.500 0.500 0.000
# Formation energy (no corrections) in eV per atom: 0.064
# Energy relative to the lowest polymorph listed for this composition in kJ/mol of formula units: 176
# V in Å³/f.u.: 76.5
# DOS(E_F) in states/eV/cell: 5.4
# Total DFT energy (no corrections) in eV per atom: -5.6959
# Crystal system: tetragonal

=====

# BaNi2Pt (GGA-PBE, relaxed)
data_BaNi2Pt
_symmetry_space_group_name_H-M 'P 1'
_symmetry_Int_Tables_number 1
_cell_length_a 3.586
_cell_length_b 3.073
_cell_length_c 6.862
_cell_angle_alpha 90.00
_cell_angle_beta 90.00
_cell_angle_gamma 90.00
loop_
_symmetry_equiv_pos_as_xyz
'x,y,z'
loop_
_atom_site_label
_atom_site_type_symbol
_atom_site_fract_x
_atom_site_fract_y
_atom_site_fract_z
Ni1 Ni 0.000 0.000 0.419
Ni2 Ni 0.000 0.000 0.081
Ba1 Ba 0.500 0.500 0.750
Pt1 Pt 0.500 0.500 0.250
# V in Å³/f.u.: 75.6
# DOS(E_F) in states/eV/cell: 4.9
# Total DFT energy (no corrections) in eV per atom: -4.6716
# Energy of formation in meV per atom: 209.9
# Crystal system: orthorhombic

=====

# CoCuNiIr (GGA-PBE, relaxed)
data_CoCuNiIr
_symmetry_space_group_name_H-M 'P 1'
_symmetry_Int_Tables_number 1
_cell_length_a 4.124
_cell_length_b 4.124
_cell_length_c 4.124
_cell_angle_alpha 60.00
_cell_angle_beta 60.00
_cell_angle_gamma 60.00
loop_
_symmetry_equiv_pos_as_xyz
'x,y,z'
loop_
_atom_site_label
_atom_site_type_symbol
_atom_site_fract_x
_atom_site_fract_y
_atom_site_fract_z
Co1 Co 0.750 0.750 0.750
Cu1 Cu 0.250 0.250 0.250
Ir1 Ir 0.000 0.000 0.000
Ni1 Ni 0.500 0.500 0.500
# V in Å³/f.u.: 49.6
# DOS(E_F) in states/eV/cell: 6.0
# Total DFT energy (no corrections) in eV per atom: -6.2811
# Energy of formation in meV per atom: 180.0
# Crystal system: cubic